Density functional theory data (PBE) for an optimized crystal structure of NaZrRe2As.

E_form	1.13	eV/atom
total magnetization	0.0	μB per cell
VASP energy	-6.756	eV/atom

Cell and atoms, written as CIF:
```
data_NaZrRe2As
_chemical_formula_sum 'Na1 Zr1 Re2 As1'
_cell_length_a 4.624
_cell_length_b 4.624
_cell_length_c 5.044
_cell_angle_alpha 90.00
_cell_angle_beta 90.00
_cell_angle_gamma 90.00
_symmetry_space_group_name_H-M 'P 4/m m m'
_symmetry_Int_Tables_number 123
_symmetry_space_group_name_Hall '-P 4 2'
loop_
_atom_site_label
_atom_site_type_symbol
_atom_site_fract_x
_atom_site_fract_y
_atom_site_fract_z
Na1 Na 0.000 0.000 0.000
Zr1 Zr 0.500 0.500 0.000
Re1 Re 0.000 0.500 0.500
As1 As 0.500 0.500 0.500
```